No. 1
A geometry-optimized ScIn2Hg structure. Source: Alexandria, functional PBE.

Unit cell a=6.1229 b=6.1229 c=5.2139 alpha=114.37 beta=114.37 gamma=32.81
Positions (direct):
1 Sc 0.0000 0.0000 0.0000
2 In 0.5096 0.5096 0.4945
3 In 0.7436 0.7436 0.1157
4 Hg 0.2720 0.2720 0.6396

Properties
ΔH_f (0 K) ... -0.202 eV/atom
Final energy ... -12.917 eV per formula unit
Density of states at the Fermi level ... 0.70 states/eV/atom
Space-group type ... Cm (8)

No. 2
A geometry-optimized AsSe2Cl structure. Source: Alexandria, functional PBE.

Unit cell a=3.6546 b=3.6546 c=8.8518 alpha=90.00 beta=90.00 gamma=126.95
Positions (direct):
1 As 0.0000 0.0000 0.0000
2 Se 0.0000 0.0000 0.5291
3 Se 0.5000 0.5000 0.7410
4 Cl 0.5000 0.5000 0.2263

Properties
Energy relative to the lowest polymorph listed for this composition ... 522.9 meV/atom
Final energy ... -12.156 eV per formula unit
Density of states at the Fermi level ... 0.80 states/eV/atom
E_form (uncorrected) ... 0.33 eV/atom
Space-group type ... Cmm2 (35)